First-principles (GGA-PBEsol) data for LiY3 after structural relaxation, as listed in the Alexandria database.

The value obtained for the calculated volume is 111.2 Å³ per cell. Its space-group type is No. 123. Its energy relative to the elements is 72 meV/atom.

abc: 3.577 3.577 8.693
angles: 90.00 90.00 90.00
Atoms (fractional coordinates):
Y  0.500  0.500  0.778
Y  0.500  0.500  0.222
Y  0.000  0.000  0.500
Li  0.000  0.000  0.000